The following is a GGA-PBE calculation of an optimized crystal structure of SrMnPPd, from Alexandria.

Results
**Calculated formation energy**: -0.62 eV per atom
**Crystal system**: tetragonal
**V**: 157.3 Å³/cell

Cell: 3.7855 3.7855 10.9741 Å, 90.00 90.00 90.00°
Last column: nearest neighbours and their distance in Å.
Element x y z (fractional)
Sr (0.7500, 0.7500, 0.2706)  4 Pd 3.15, 4 P 3.16, 4 Mn 3.52
Sr (0.2500, 0.2500, 0.7294)  4 Pd 3.15, 4 P 3.16, 4 Mn 3.52
Mn (0.7500, 0.2500, 0.0000)  4 P 2.29
Mn (0.2500, 0.7500, 0.0000)  4 P 2.29
P (0.7500, 0.7500, 0.8818)  4 Mn 2.29
P (0.2500, 0.2500, 0.1182)  4 Mn 2.29
Pd (0.2500, 0.7500, 0.5000)  4 Pd 2.68
Pd (0.7500, 0.2500, 0.5000)  4 Pd 2.68

---

The following is a GGA-PBE calculation of an optimized crystal structure of RuPt2W, from Alexandria.

Results
**Calculated formation energy**: 0.01 eV per atom
**Relative energy among the computed polymorphs**: 197.3 meV per atom
**Crystal system**: tetragonal
**V**: 62.2 Å³/cell

Cell: 3.3277 3.3277 5.6142 Å, 90.00 90.00 90.00°
Last column: nearest neighbours and their distance in Å.
Element x y z (fractional)
Pt (0.0000, 0.0000, 0.9981)  2 Ru 2.74-2.88, 4 Pt 2.76, 4 W 2.77
Pt (0.5000, 0.5000, 0.2538)  2 W 2.71-2.90, 4 Pt 2.76, 4 Ru 2.76
Ru (0.0000, 0.0000, 0.5109)  4 W 2.67, 6 Pt 2.74-2.88
W (0.5000, 0.5000, 0.7372)  4 Ru 2.67, 6 Pt 2.71-2.90

---

The following is a GGA-PBE calculation of an optimized crystal structure of InGeS, from Alexandria.

Results
**Relative energy among the computed polymorphs**: 124.6 meV per atom
**Crystal system**: orthorhombic
**Uncorrected formation energy**: -0.029 eV per atom
**V**: 141.2 Å³/cell

Cell: 3.3933 5.4792 7.5967 Å, 90.00 90.00 90.00°
Last column: nearest neighbours and their distance in Å.
Element x y z (fractional)
In (0.0000, 0.8223, 0.6830)  5 S 2.95-3.23
In (0.5000, 0.3223, 0.3170)  5 S 2.95-3.23
Ge (0.0000, 0.3220, 0.9372)  2 S 2.45
Ge (0.5000, 0.8220, 0.0628)  2 S 2.45
S (0.0000, 0.8219, 0.2952)  2 Ge 2.45
S (0.5000, 0.3219, 0.7048)  2 Ge 2.45

---

The following is a GGA-PBE calculation of an optimized crystal structure of YMn2Tl, from Alexandria.

Results
**Calculated formation energy**: 0.35 eV per atom
**Relative energy among the computed polymorphs**: 116.9 meV per atom
**Crystal system**: monoclinic
**V**: 88.3 Å³/cell

Cell: 4.2746 3.3613 6.4889 Å, 71.20 90.00 90.00°
Last column: nearest neighbours and their distance in Å.
Element x y z (fractional)
Mn (0.0000, 0.0868, 0.9879)  2 Tl 2.89, 1 Mn 2.92, 4 Y 3.06-3.11
Mn (0.0000, 0.4132, 0.5121)  2 Tl 2.89, 1 Mn 2.92, 4 Y 3.06-3.11
Tl (0.5000, 0.2500, 0.2500)  4 Mn 2.89, 2 Y 3.14
Y (0.5000, 0.7500, 0.7500)  8 Mn 3.06-3.11, 2 Tl 3.14, 2 Y 3.36

---

The following is a GGA-PBE calculation of an optimized crystal structure of ErPuOsPb, from Alexandria.

Results
**Calculated formation energy**: -0.24 eV per atom
**Crystal system**: tetragonal
**V**: 95.6 Å³/cell

Cell: 3.3082 3.3082 8.7382 Å, 90.00 90.00 90.00°
Last column: nearest neighbours and their distance in Å.
Element x y z (fractional)
Er (0.5000, 0.5000, 0.7702)  4 Os 2.91
Pu (0.5000, 0.5000, 0.3737)  4 Os 2.91
Os (0.0000, 0.0000, 0.5728)  4 Er 2.91, 4 Pu 2.91
Pb (0.0000, 0.0000, 0.0680)  4 Pb 3.31, 4 Er 3.50, 4 Pu 3.55

---

The following is a GGA-PBE calculation of an optimized crystal structure of CaPr2Ir2, from Alexandria.

Results
**Calculated formation energy**: -0.49 eV per atom
**Crystal system**: tetragonal
**V**: 251.8 Å³/cell

Cell: 3.9728 7.9610 7.9610 Å, 90.00 90.00 90.00°
Last column: nearest neighbours and their distance in Å.
Element x y z (fractional)
Ca (0.0000, 0.0000, 0.0000)  4 Ir 3.09
Ca (0.0000, 0.5000, 0.5000)  4 Ir 3.09
Pr (0.5000, 0.1592, 0.6592)  6 Ir 3.05-3.08
Pr (0.5000, 0.6592, 0.8408)  6 Ir 3.05-3.08
Pr (0.5000, 0.8408, 0.3408)  6 Ir 3.05-3.08
Pr (0.5000, 0.3408, 0.1592)  6 Ir 3.05-3.08
Ir (0.0000, 0.3643, 0.8643)  6 Pr 3.05-3.08, 1 Ir 3.06, 2 Ca 3.09
Ir (0.0000, 0.8643, 0.6357)  6 Pr 3.05-3.08, 1 Ir 3.06, 2 Ca 3.09
Ir (0.0000, 0.6357, 0.1357)  6 Pr 3.05-3.08, 1 Ir 3.06, 2 Ca 3.09
Ir (0.0000, 0.1357, 0.3643)  6 Pr 3.05-3.08, 1 Ir 3.06, 2 Ca 3.09

---

The following is a GGA-PBE calculation of an optimized crystal structure of TbNiS2, from Alexandria.

Results
**Relative energy among the computed polymorphs**: 0.0 meV per atom
**Crystal system**: monoclinic
**Uncorrected formation energy**: -1.207 eV per atom
**V**: 70.1 Å³/cell

Cell: 3.5989 3.5986 5.9730 Å, 107.42 107.41 89.92°
Last column: nearest neighbours and their distance in Å.
Element x y z (fractional)
Tb (0.2208, 0.8817, 0.2282)  8 S 2.92-2.94, 4 Ni 3.25
Ni (0.4712, 0.6312, 0.7282)  4 S 2.19
S (0.8565, 0.5158, 0.4964)  2 Ni 2.19
S (0.5867, 0.2460, 0.9600)  2 Ni 2.19

---

The following is a GGA-PBE calculation of an optimized crystal structure of BaLa3Sn, from Alexandria.

Results
**Calculated formation energy**: 0.02 eV per atom
**Relative energy among the computed polymorphs**: 0.0 meV per atom
**Crystal system**: cubic
**V**: 245.1 Å³/cell

Cell: 6.2578 6.2578 6.2578 Å, 90.00 90.00 90.00°
Last column: nearest neighbours and their distance in Å.
Element x y z (fractional)
Ba (0.5000, 0.5000, 0.5000)  12 La 4.42
Sn (0.0000, 0.0000, 0.0000)  6 La 3.13
La (0.0000, 0.5000, 0.0000)  2 Sn 3.13
La (0.0000, 0.0000, 0.5000)  2 Sn 3.13
La (0.5000, 0.0000, 0.0000)  2 Sn 3.13

---

The following is a GGA-PBE calculation of an optimized crystal structure of LaEr3O, from Alexandria.

Results
**Crystal system**: cubic
**Uncorrected formation energy**: -1.029 eV per atom
**V**: 121.6 Å³/cell

Cell: 4.9543 4.9543 4.9543 Å, 90.00 90.00 90.00°
Last column: nearest neighbours and their distance in Å.
Element x y z (fractional)
La (0.5000, 0.5000, 0.5000)  12 Er 3.50
O (0.0000, 0.0000, 0.0000)  6 Er 2.48
Er (0.0000, 0.5000, 0.0000)  2 O 2.48
Er (0.0000, 0.0000, 0.5000)  2 O 2.48
Er (0.5000, 0.0000, 0.0000)  2 O 2.48

---

The following is a GGA-PBE calculation of an optimized crystal structure of SrSi2Os, from Alexandria.

Results
**Crystal system**: monoclinic
**Uncorrected formation energy**: 0.042 eV per atom
**V**: 80.5 Å³/cell

Cell: 4.2096 3.2005 5.9957 Å, 85.45 90.00 90.00°
Last column: nearest neighbours and their distance in Å.
Element x y z (fractional)
Os (0.5000, 0.7500, 0.7500)  4 Si 2.42
Si (0.0000, 0.8350, 0.9394)  1 Si 2.38, 2 Os 2.42
Si (0.0000, 0.6650, 0.5606)  1 Si 2.38, 2 Os 2.42
Sr (0.5000, 0.2500, 0.2500)  8 Si 3.17-3.29, 2 Sr 3.20, 4 Os 3.28-3.51

---

The following is a GGA-PBE calculation of an optimized crystal structure of Ti3Se, from Alexandria.

Results
**Relative energy among the computed polymorphs**: 206.8 meV per atom
**Crystal system**: orthorhombic
**Uncorrected formation energy**: -0.419 eV per atom
**V**: 68.2 Å³/cell

Cell: 3.2328 5.2184 5.0760 Å, 120.93 108.57 90.00°
Last column: nearest neighbours and their distance in Å.
Element x y z (fractional)
Se (0.0000, 0.0567, 0.0000)  8 Ti 2.56-2.76
Ti (0.2897, 0.6258, 0.5793)  3 Se 2.61-2.76, 3 Ti 2.69-2.89
Ti (0.5000, 0.4376, 0.0000)  2 Se 2.56, 2 Ti 2.69
Ti (0.7103, 0.0465, 0.4207)  3 Se 2.61-2.76, 3 Ti 2.69-2.89

---

The following is a GGA-PBE calculation of an optimized crystal structure of LaVN3, from Alexandria.

Results
**Crystal system**: trigonal
**Uncorrected formation energy**: -0.680 eV per atom
**V**: 130.7 Å³/cell

Cell: 6.0606 6.0606 6.0606 Å, 52.76 52.76 52.76°
Last column: nearest neighbours and their distance in Å.
Element x y z (fractional)
V (0.1442, 0.1442, 0.1442)  3 N 1.82
V (0.8558, 0.8558, 0.8558)  3 N 1.82
La (0.3770, 0.3770, 0.3770)  6 N 2.53-2.57
La (0.6230, 0.6230, 0.6230)  6 N 2.53-2.57
N (0.4220, 0.9674, 0.8712)  1 V 1.82
N (0.9674, 0.8712, 0.4220)  1 V 1.82
N (0.1288, 0.5780, 0.0326)  1 V 1.82
N (0.0326, 0.1288, 0.5780)  1 V 1.82
N (0.5780, 0.0326, 0.1288)  1 V 1.82
N (0.8712, 0.4220, 0.9674)  1 V 1.82

---

Number 1: density of states at the Fermi level 0.771 states/eV/atom, final energy -5.980 eV/atom. Number 2: density of states at the Fermi level 1.331 states/eV/atom, final energy -8.572 eV/atom. Number 3: density of states at the Fermi level 0.174 states/eV/atom, final energy -3.857 eV/atom. Number 4: density of states at the Fermi level 0.924 states/eV/atom, final energy -6.444 eV/atom. Number 5: density of states at the Fermi level 1.968 states/eV/atom, final energy -8.693 eV/atom. Number 6: density of states at the Fermi level 0.550 states/eV/atom, final energy -6.342 eV/atom. Number 7: density of states at the Fermi level 0.594 states/eV/atom, final energy -5.873 eV/atom. Number 8: density of states at the Fermi level 2.351 states/eV/atom, final energy -4.120 eV/atom. Number 9: density of states at the Fermi level 1.694 states/eV/atom, final energy -5.744 eV/atom. Number 10: density of states at the Fermi level 0.642 states/eV/atom, final energy -5.897 eV/atom. Number 11: density of states at the Fermi level 1.168 states/eV/atom, final energy -7.212 eV/atom. Number 12: density of states at the Fermi level 0.462 states/eV/atom, final energy -8.485 eV/atom.